No. 1
Here is an optimized crystal structure of Na2Ag2P from the Alexandria database. Energies are from GGA-PBE.

```
Na2Ag2P
1.0
6.676 0.000 0.000
0.000 6.676 0.000
0.000 0.000 4.857
Na Ag P
4 4 2
Cartesian
1.168 2.170 0.000
2.170 5.509 0.000
4.506 1.168 0.000
5.509 4.506 0.000
1.005 4.344 2.429
2.333 1.005 2.429
4.344 5.671 2.429
5.671 2.333 2.429
0.000 0.000 2.429
3.338 3.338 2.429
```

Computed properties:
- D(E_F): 0.32 states/eV per atom
- Formation energy: -33.0 meV/atom
- Theoretical density: 4.5 g/cm³

---

No. 2
Here is an optimized crystal structure of SnRuCl2 from the Alexandria database. Energies are from GGA-PBE.

```
SnRuCl2
1.0
-3.082 3.082 5.621
3.082 -3.082 5.621
3.082 3.082 -5.621
Sn Ru Cl
2 2 4
Cartesian
0.000 0.000 0.000
0.000 3.082 2.811
3.082 0.000 2.811
0.000 0.000 5.621
1.541 -1.031 4.216
2.050 1.541 1.405
1.541 4.113 -1.405
1.031 1.541 7.027
```

Computed properties:
- Energy above the most stable polymorph in this dataset: 0.435 eV per atom
- D(E_F): 0.81 states/eV per atom
- Raw formation energy: 10.2 kcal/mol of atoms
- Theoretical density: 4.5 g/cm³

---

No. 3
Here is an optimized crystal structure of PmPrO2 from the Alexandria database. Energies are from GGA-PBE.

```
PmPrO2
1.0
1.909 1.102 6.725
-1.909 1.102 6.725
0.000 -2.205 6.725
Pm Pr O
1 1 2
Cartesian
0.000 0.000 0.000
0.000 0.000 10.088
0.000 0.000 2.274
0.000 0.000 17.903
```

Computed properties:
- Energy above the most stable polymorph in this dataset: 0.000 eV per atom
- D(E_F): 0.22 states/eV per atom
- Raw formation energy: -62.7 kcal/mol of atoms
- Theoretical density: 6.2 g/cm³

---

No. 4
Here is an optimized crystal structure of KBaTiSe3 from the Alexandria database. Energies are from GGA-PBE.

```
KBaTiSe3
1.0
8.793 -2.522 0.000
8.793 2.522 0.000
-2.662 0.000 8.694
K Ba Ti Se
2 2 2 6
Cartesian
2.233 0.000 0.607
12.692 0.000 8.088
1.267 0.000 5.143
13.659 0.000 3.551
7.915 0.000 2.760
7.010 0.000 5.935
-0.778 0.000 2.603
5.737 0.000 1.555
4.467 0.000 5.793
10.458 0.000 2.901
9.188 0.000 7.139
15.703 0.000 6.091
```

Computed properties:
- D(E_F): 0.36 states/eV per atom
- Raw formation energy: -30.2 kcal/mol of atoms
- Theoretical density: 4.0 g/cm³

---

No. 5
Here is an optimized crystal structure of KMoPt from the Alexandria database. Energies are from GGA-PBE.

```
KMoPt
1.0
0.000 3.182 3.182
3.182 0.000 3.182
3.182 3.182 0.000
K Mo Pt
1 1 1
Cartesian
0.000 0.000 0.000
1.591 1.591 1.591
3.182 3.182 3.182
```

Computed properties:
- Energy above the most stable polymorph in this dataset: 0.849 eV per atom
- D(E_F): 0.77 states/eV per atom
- Formation energy: 1307.0 meV/atom
- Theoretical density: 8.5 g/cm³

---

No. 6
Here is an optimized crystal structure of TlZnCo2 from the Alexandria database. Energies are from GGA-PBE.

```
TlZnCo2
1.0
1.516 0.875 8.329
-1.516 0.875 8.329
0.000 -1.751 8.329
Tl Zn Co
1 1 2
Cartesian
0.000 0.000 0.000
0.000 0.000 5.807
0.000 0.000 12.233
0.000 0.000 19.001
```

Computed properties:
- Energy above the most stable polymorph in this dataset: 0.197 eV per atom
- D(E_F): 1.12 states/eV per atom
- Formation energy: 494.7 meV/atom
- Theoretical density: 9.7 g/cm³

---

No. 7
Here is an optimized crystal structure of CeY from the Alexandria database. Energies are from GGA-PBE.

```
CeY
1.0
3.523 0.000 0.000
-1.762 3.051 0.000
0.000 0.000 5.805
Ce Y
1 1
Cartesian
0.000 0.000 0.000
0.000 2.034 2.903
```

Computed properties:
- Energy above the most stable polymorph in this dataset: 0.013 eV per atom
- D(E_F): 2.66 states/eV per atom
- Formation energy: 116.6 meV/atom
- Theoretical density: 6.1 g/cm³

---

No. 8
Here is an optimized crystal structure of CsCuI4 from the Alexandria database. Energies are from GGA-PBE.

```
CsCuI4
1.0
10.572 -3.253 0.000
10.572 3.253 0.000
-2.754 0.000 9.561
Cs Cu I
2 2 8
Cartesian
4.380 0.000 2.277
14.010 0.000 7.285
-0.016 0.000 6.449
18.406 0.000 3.113
8.039 1.614 0.953
2.483 0.000 5.642
9.195 1.607 4.781
10.351 1.614 8.608
8.039 -1.614 0.953
9.195 -1.607 4.781
15.907 0.000 3.920
10.351 -1.614 8.608
```

Computed properties:
- D(E_F): 0.87 states/eV per atom
- Raw formation energy: -12.4 kcal/mol of atoms
- Theoretical density: 3.6 g/cm³

---

No. 9
Here is an optimized crystal structure of KAlHg2Br4 from the Alexandria database. Energies are from GGA-PBE.

```
KAlHg2Br4
1.0
6.732 0.000 0.000
1.213 7.437 0.000
2.963 2.422 6.502
K Al Hg Br
1 1 2 4
Cartesian
0.000 0.000 0.000
7.957 6.841 5.211
4.486 3.483 3.322
7.815 3.093 2.364
3.529 6.966 4.959
4.356 6.122 0.185
7.338 4.782 6.108
6.898 7.094 3.157
```

Computed properties:
- D(E_F): 0.00 states/eV per atom
- Raw formation energy: -22.9 kcal/mol of atoms
- Theoretical density: 4.0 g/cm³

---

No. 10
Here is an optimized crystal structure of CaSc2InO from the Alexandria database. Energies are from GGA-PBE.

```
CaSc2InO
1.0
4.514 0.000 0.000
0.000 4.514 0.000
0.000 0.000 4.745
Ca Sc In O
1 2 1 1
Cartesian
0.000 0.000 0.000
0.000 2.257 2.373
2.257 0.000 2.373
2.257 2.257 0.000
0.000 0.000 2.373
```

Computed properties:
- D(E_F): 0.43 states/eV per atom
- Raw formation energy: -32.3 kcal/mol of atoms
- Theoretical density: 4.5 g/cm³

---

No. 11
Here is an optimized crystal structure of Cs4Cl3F from the Alexandria database. Energies are from GGA-PBE.

```
Cs4Cl3F
1.0
4.869 -6.834 0.000
4.869 6.834 0.000
0.000 0.000 4.824
Cs Cl F
4 3 1
Cartesian
2.215 0.000 2.412
4.869 3.652 0.000
4.869 -3.652 0.000
7.523 0.000 2.412
2.435 3.417 2.412
2.435 -3.417 2.412
4.869 0.000 0.000
0.000 0.000 0.000
```

Computed properties:
- Energy above the most stable polymorph in this dataset: 0.004 eV per atom
- D(E_F): 0.00 states/eV per atom
- Raw formation energy: -48.6 kcal/mol of atoms
- Theoretical density: 3.4 g/cm³

---

No. 12
Here is an optimized crystal structure of FeAgI4 from the Alexandria database. Energies are from GGA-PBE.

```
FeAgI4
1.0
-3.269 3.269 5.964
3.269 -3.269 5.964
3.269 3.269 -5.964
Fe Ag I
1 1 4
Cartesian
0.000 0.000 0.000
3.269 0.000 2.982
4.983 1.448 -1.437
1.448 1.556 1.437
-1.714 1.821 4.528
1.821 1.714 7.401
```

Computed properties:
- Raw formation energy: -4.8 kcal/mol of atoms
- Theoretical density: 4.4 g/cm³

---

No. 13
Here is an optimized crystal structure of La2ZnCoTe from the Alexandria database. Energies are from GGA-PBE.

```
La2ZnCoTe
1.0
5.240 0.000 0.000
0.000 5.240 0.000
0.000 0.000 4.697
La Zn Co Te
2 1 1 1
Cartesian
0.000 2.620 0.000
2.620 0.000 0.000
0.000 0.000 2.349
0.000 0.000 0.000
2.620 2.620 2.349
```

Computed properties:
- D(E_F): 0.49 states/eV per atom
- Raw formation energy: -16.4 kcal/mol of atoms
- Theoretical density: 6.8 g/cm³

---

No. 14
Here is an optimized crystal structure of ZrTa2As from the Alexandria database. Energies are from GGA-PBE.

```
ZrTa2As
1.0
3.000 0.000 0.000
0.000 3.000 0.000
0.000 0.000 8.433
Zr Ta As
1 2 1
Cartesian
0.000 0.000 0.000
0.000 0.000 3.910
1.500 1.500 6.127
1.500 1.500 2.094
```

Computed properties:
- D(E_F): 1.16 states/eV per atom
- Formation energy: 6.8 meV/atom
- Theoretical density: 11.6 g/cm³

---

No. 15
Here is an optimized crystal structure of Y2Sb2Pt from the Alexandria database. Energies are from GGA-PBE.

```
Y2Sb2Pt
1.0
7.259 0.000 0.000
0.000 7.259 0.000
0.000 0.000 4.620
Y Sb Pt
4 4 2
Cartesian
1.218 2.411 0.000
2.411 6.041 0.000
4.848 1.218 0.000
6.041 4.848 0.000
1.052 4.682 2.310
2.577 1.052 2.310
4.682 6.207 2.310
6.207 2.577 2.310
0.000 0.000 2.310
3.630 3.630 2.310
```

Computed properties:
- D(E_F): 0.33 states/eV per atom
- Raw formation energy: -18.6 kcal/mol of atoms
- Theoretical density: 8.4 g/cm³

---

No. 16
Here is an optimized crystal structure of Pr2MnIr9 from the Alexandria database. Energies are from GGA-PBE.

```
Pr2MnIr9
1.0
2.652 1.531 8.922
-2.652 1.531 8.922
0.000 -3.062 8.922
Pr Mn Ir
2 1 9
Cartesian
0.000 0.000 3.671
0.000 0.000 23.095
0.000 0.000 0.000
-1.316 -0.760 11.067
0.000 0.000 8.899
0.000 -1.520 15.699
-1.316 0.760 15.699
0.000 0.000 13.383
1.316 -0.760 11.067
0.000 1.520 11.067
0.000 0.000 17.867
1.316 0.760 15.699
```

Computed properties:
- D(E_F): 0.89 states/eV per atom
- Formation energy: -167.9 meV/atom
- Theoretical density: 15.8 g/cm³

---

No. 17
Here is an optimized crystal structure of Sn5Hg3Bi12 from the Alexandria database. Energies are from GGA-PBE.

```
Sn5Hg3Bi12
1.0
-9.046 9.046 9.046
9.046 -9.046 9.046
9.046 9.046 -9.046
Sn Hg Bi
20 12 48
Cartesian
0.000 0.000 0.000
4.523 4.523 -4.523
4.523 -4.523 4.523
9.046 0.000 0.000
13.569 2.262 0.000
9.046 -4.523 6.785
6.785 9.046 -4.523
6.785 0.000 4.523
4.523 6.785 0.000
9.046 4.523 2.262
-4.523 4.523 4.523
0.000 9.046 0.000
0.000 0.000 9.046
4.523 4.523 4.523
0.000 4.523 6.785
4.523 2.262 9.046
2.262 9.046 4.523
2.262 0.000 13.569
0.000 13.569 2.262
-4.523 6.785 9.046
4.523 2.262 0.000
9.046 4.523 -2.262
2.262 0.000 4.523
11.308 0.000 4.523
0.000 4.523 2.262
4.523 -2.262 9.046
4.523 11.308 0.000
9.046 4.523 6.785
-2.262 9.046 4.523
6.785 9.046 4.523
0.000 4.523 11.308
4.523 6.785 9.046
2.783 -0.379 1.553
10.786 6.076 -4.902
8.668 -1.553 2.783
13.948 -1.740 2.970
11.830 0.379 1.553
10.786 -2.970 4.902
1.553 2.783 -0.379
12.017 4.144 -1.740
6.076 4.902 -1.740
7.493 2.783 0.379
-0.379 1.553 2.783
4.902 -1.740 6.076
8.668 7.493 -2.783
4.902 1.740 2.970
7.493 -2.783 8.668
6.076 -4.902 10.786
2.970 4.902 1.740
10.599 6.263 0.379
2.783 8.668 -1.553
10.786 2.970 4.144
4.902 10.786 -2.970
8.668 1.553 6.263
1.740 2.970 4.902
2.783 0.379 7.493
6.263 8.668 1.553
7.307 6.076 4.144
0.379 7.493 2.783
4.144 -1.740 12.017
-1.740 6.076 4.902
6.263 0.379 10.599
-1.553 2.783 8.668
6.076 4.144 7.307
2.970 13.948 -1.740
1.553 11.830 0.379
4.144 7.307 6.076
0.379 1.553 11.830
4.144 10.786 2.970
9.425 7.493 6.263
1.553 6.263 8.668
2.970 4.144 10.786
-2.970 4.902 10.786
7.493 6.263 9.425
-1.740 12.017 4.144
-2.783 8.668 7.493
-4.902 10.786 6.076
0.379 10.599 6.263
-1.740 2.970 13.948
6.263 9.425 7.493
```

Computed properties:
- D(E_F): 0.65 states/eV per atom
- Formation energy: 230.7 meV/atom
- Theoretical density: 8.3 g/cm³

---

No. 18
Here is an optimized crystal structure of Tb6In2Ga from the Alexandria database. Energies are from GGA-PBE.

```
Tb6In2Ga
1.0
-2.563 3.630 7.694
2.563 -3.630 7.694
2.563 3.630 -7.694
Tb In Ga
6 2 1
Cartesian
2.563 1.771 -2.495
0.000 1.729 0.000
2.563 1.771 2.495
0.000 1.859 5.199
0.000 5.531 0.000
0.000 1.859 10.189
2.563 0.000 5.146
0.000 3.630 2.548
2.563 0.000 0.000
```

Computed properties:
- D(E_F): 1.42 states/eV per atom
- Formation energy: -141.8 meV/atom
- Theoretical density: 7.3 g/cm³

---

No. 19
Here is an optimized crystal structure of ReSiSb2 from the Alexandria database. Energies are from GGA-PBE.

```
ReSiSb2
1.0
4.856 0.000 0.000
0.000 4.856 0.000
0.000 0.000 3.287
Re Si Sb
1 1 2
Cartesian
0.000 0.000 0.000
2.428 2.428 0.000
0.000 2.428 1.644
2.428 0.000 1.644
```

Computed properties:
- D(E_F): 1.02 states/eV per atom
- Raw formation energy: 19.5 kcal/mol of atoms
- Theoretical density: 9.8 g/cm³

---

No. 20
Here is an optimized crystal structure of La8Tl2Pt from the Alexandria database. Energies are from GGA-PBE.

```
La8Tl2Pt
1.0
9.474 -2.797 0.000
9.474 2.797 0.000
-2.120 0.000 6.664
La Tl Pt
8 2 1
Cartesian
-0.458 0.000 1.859
2.398 0.000 5.007
5.425 0.000 3.723
7.556 0.000 0.528
9.271 0.000 6.136
11.402 0.000 2.941
14.430 0.000 1.657
17.285 0.000 4.805
2.931 0.000 1.308
13.896 0.000 5.356
8.414 0.000 3.332
```

Computed properties:
- D(E_F): 0.99 states/eV per atom
- Formation energy: -369.7 meV/atom
- Theoretical density: 8.1 g/cm³

---

No. 21
Here is an optimized crystal structure of Ca2YEr from the Alexandria database. Energies are from GGA-PBE.

```
Ca2YEr
1.0
4.120 0.000 0.000
0.000 4.120 0.000
0.000 0.000 8.296
Ca Y Er
2 1 1
Cartesian
0.000 0.000 2.055
0.000 0.000 6.241
2.060 2.060 4.148
2.060 2.060 0.000
```

Computed properties:
- Energy above the most stable polymorph in this dataset: 0.054 eV per atom
- D(E_F): 1.73 states/eV per atom
- Formation energy: 191.6 meV/atom
- Theoretical density: 4.0 g/cm³

---

No. 22
Here is an optimized crystal structure of Nb2VHRu from the Alexandria database. Energies are from GGA-PBE.

```
Nb2VHRu
1.0
4.447 0.000 0.000
0.000 4.447 0.000
0.000 0.000 3.342
Nb V H Ru
2 1 1 1
Cartesian
0.000 2.223 0.000
2.223 0.000 0.000
0.000 0.000 1.671
0.000 0.000 0.000
2.223 2.223 1.671
```

Computed properties:
- Energy above the most stable polymorph in this dataset: 0.000 eV per atom
- D(E_F): 0.67 states/eV per atom
- Theoretical density: 8.5 g/cm³